No. 1
The following is a DFT calculation (GGA-PBE) of a geometry-optimized KReTc2 structure.

The calculation puts the formation energy at 5.8 eV per formula unit. Its energy above the most stable polymorph in this dataset is 744 meV/atom. As for the crystal system: monoclinic. The volume is 69 Å³/f.u. Its total magnetization is 0.00 Bohr magnetons per cell.

The structure belongs to space group P2/m (No. 10); the cell edges are 5.4521, 2.5544 and 5.4918 Å and the angles 90.00°, 115.57° and 90.00°. The inequivalent atoms are K at (0.0000, 0.0000, 0.0000), Re at (0.5000, 0.5000, 0.5000), Tc at (0.0000, 0.0000, 0.5000) and Tc at (0.5000, 0.5000, 0.0000).

---

No. 2
The following is a DFT calculation (GGA-PBE) of a geometry-optimized Be2CdIr2 structure.

The calculation puts the formation energy at -0.4 eV per formula unit. Its energy above the most stable polymorph in this dataset is 200 meV/atom. As for the crystal system: tetragonal. The volume is 67 Å³/f.u. Its total magnetization is 0.00 Bohr magnetons per cell.

The structure belongs to space group I4/mmm (No. 139); the cell edges are 3.0329, 3.0329 and 14.6264 Å and the angles 90.00°, 90.00° and 90.00°. The inequivalent atoms are Be at (0.0000, 0.5000, 0.2500), Cd at (0.0000, 0.0000, 0.0000) and Ir at (0.0000, 0.0000, 0.3676).

---

No. 3
The following is a DFT calculation (GGA-PBE) of a geometry-optimized Pa3Te3As structure.

Its energy above the most stable polymorph in this dataset is 314 meV/atom. As for the crystal system: monoclinic. The energy relative to the elements, uncorrected is -0.5572 eV per atom. The volume is 209 Å³/f.u. Its total magnetization is 15.17 Bohr magnetons per cell.

The structure belongs to space group C2/m (No. 12); the cell edges are 8.7270, 12.2233 and 7.8503 Å and the angles 90.00°, 90.49° and 90.00°. The inequivalent atoms are Pa at (0.0491, 0.0000, 0.1938), Pa at (0.1686, 0.3479, 0.3235), Te at (0.0000, 0.1572, 0.5000), Te at (0.0000, 0.2344, 0.0000), Te at (0.1272, 0.5000, 0.6525) and As at (0.2332, 0.5000, 0.0729).

---

No. 4
The following is a DFT calculation (GGA-PBE) of a geometry-optimized BeCrN structure.

As for the crystal system: orthorhombic. The energy relative to the elements, uncorrected is -0.0591 eV per atom. The volume is 25 Å³/f.u. Its total magnetization is 0.00 Bohr magnetons per cell.

The structure belongs to space group Immm (No. 71); the cell edges are 2.6828, 3.7626 and 9.9279 Å and the angles 90.00°, 90.00° and 90.00°. The inequivalent atoms are Be at (0.0000, 0.2476, 0.0000), Cr at (0.0000, 0.0000, 0.3217) and N at (0.0000, 0.0000, 0.1374).

---

No. 5
The following is a DFT calculation (GGA-PBE) of a geometry-optimized La2TbSmDy2 structure.

The calculation puts the formation energy at 1.5 eV per formula unit. As for the crystal system: orthorhombic. The volume is 209 Å³/f.u. Its total magnetization is 0.00 Bohr magnetons per cell.

The structure belongs to space group Pnnm (No. 58); the cell edges are 6.6210, 18.3733 and 3.4299 Å and the angles 90.00°, 90.00° and 90.00°. The inequivalent atoms are La at (0.2208, 0.1883, 0.0000), Tb at (0.0000, 0.0000, 0.0000), Sm at (0.0000, 0.5000, 0.0000) and Dy at (0.2193, 0.3562, 0.5000).

---

No. 6
The following is a DFT calculation (GGA-PBE) of a geometry-optimized Ho2TmTh structure.

The calculation puts the formation energy at 0.1 eV per formula unit. Its energy above the most stable polymorph in this dataset is 0 meV/atom. As for the crystal system: trigonal. The volume is 125 Å³/f.u. Its total magnetization is 0.00 Bohr magnetons per cell.

The structure belongs to space group R-3m (No. 166, hexagonal axes); the cell edges are 3.5477, 3.5477 and 34.3582 Å and the angles 90.00°, 90.00° and 120.00°. The inequivalent atoms are Ho at (0.0000, 0.0000, 0.2493), Tm at (0.0000, 0.0000, 0.0000) and Th at (0.0000, 0.0000, 0.5000).

---

What did the fifth record say?
The following is a DFT calculation (GGA-PBE) of a geometry-optimized La2TbSmDy2 structure.

The calculation puts the formation energy at 1.5 eV per formula unit. As for the crystal system: orthorhombic. The volume is 209 Å³/f.u. Its total magnetization is 0.00 Bohr magnetons per cell.

The structure belongs to space group Pnnm (No. 58); the cell edges are 6.6210, 18.3733 and 3.4299 Å and the angles 90.00°, 90.00° and 90.00°. The inequivalent atoms are La at (0.2208, 0.1883, 0.0000), Tb at (0.0000, 0.0000, 0.0000), Sm at (0.0000, 0.5000, 0.0000) and Dy at (0.2193, 0.3562, 0.5000).

---

> What is the volume in the fourth record?

25 Å³/f.u.